First-principles (GGA+U) data for a geometry-optimized K5MoBr2O4 structure, as listed in Alexandria via LeMat-Bulk.

Output
VASP energy ... -4.6322 eV per atom
V ... 25.46 Å³ per atom

Lattice parameters (Å, degrees): 6.745 6.242 8.623 90.00 90.00 122.70
Site moments in Bohr magnetons follow the coordinates.
Fractional coordinates of all 12 atoms:
O 0.584 0.000 0.830  0.02
Br 0.965 0.628 0.500  0.00
O 0.584 0.000 0.170  0.02
K 0.066 0.364 0.200  0.00
Mo 0.408 0.000 0.000  0.88
K 0.522 0.000 0.500  0.00
K 0.702 0.636 0.800  0.00
O 0.378 0.285 0.000  0.02
K 0.702 0.636 0.200  0.00
Br 0.337 0.372 0.500  0.00
K 0.066 0.364 0.800  0.00
O 0.093 0.715 0.000  0.02